Record 1
Crystalline ErZrGaPd at its relaxed geometry, computed with PBE.

The electronic total energy comes out at -5.8946 eV/atom. The value obtained for the calculated formation energy is -0.56 eV per atom. As for the density of states at the Fermi level: 16.7 states/eV/cell.

The space group is F-43m (No. 216) and the conventional cell measures 6.887, 6.887 and 6.887 Å, with angles of 90.00, 90.00 and 90.00 degrees. The distinct sites, in fractional coordinates, are Er at (0.000, 0.000, 0.000), Zr at (0.000, 0.000, 0.500), Ga at (0.250, 0.250, 0.250) and Pd at (0.250, 0.250, 0.750).

=====

Record 2
Crystalline Pm3ErGa at its relaxed geometry, computed with PBE.

The electronic total energy comes out at -4.4337 eV/atom. The value obtained for the calculated formation energy is -0.07 eV per atom. As for the density of states at the Fermi level: 29.3 states/eV/cell.

The space group is C2/m (No. 12) and the conventional cell measures 11.994, 9.135 and 7.809 Å, with angles of 90.00, 130.59 and 90.00 degrees. The distinct sites, in fractional coordinates, are Pm at (0.059, 0.000, 0.336), Pm at (0.229, 0.311, 0.763), Er at (0.061, 0.500, 0.263) and Ga at (0.246, 0.500, 0.122).